No. 1
# Gd2USe5, optimized geometry, DFT GGA-PBE
data_Gd2USe5
_cell_length_a 12.369
_cell_length_b 8.275
_cell_length_c 7.778
_cell_angle_alpha 90.00
_cell_angle_beta 90.00
_cell_angle_gamma 90.00
_symmetry_space_group_name_H-M 'P n m a'
_symmetry_Int_Tables_number 62
loop_
_symmetry_equiv_pos_as_xyz
'x,y,z'
'-x,-y,-z'
'-x+1/2,-y,z+1/2'
'x+1/2,y,-z+1/2'
'x+1/2,-y+1/2,-z+1/2'
'-x+1/2,y+1/2,z+1/2'
'-x,y+1/2,-z'
'x,-y+1/2,z'
loop_
_atom_site_label
_atom_site_type_symbol
_atom_site_fract_x
_atom_site_fract_y
_atom_site_fract_z
Gd1 Gd 0.180 0.003 0.019
U1 U 0.008 0.750 0.574
Se1 Se 0.001 0.250 0.041
Se2 Se 0.100 0.045 0.664
Se3 Se 0.183 0.750 0.324
Se4 Se 0.217 0.250 0.299
# VASP energy   -6.339 eV per atom
# Total moment   2.00 μB per formula unit



No. 2
# SmYSc, optimized geometry, DFT GGA-PBE
data_SmYSc
_cell_length_a 7.467
_cell_length_b 7.467
_cell_length_c 7.467
_cell_angle_alpha 90.00
_cell_angle_beta 90.00
_cell_angle_gamma 90.00
_symmetry_space_group_name_H-M 'F -4 3 m'
_symmetry_Int_Tables_number 216
_symmetry_space_group_name_Hall 'F -4 2 3'
loop_
_atom_site_label
_atom_site_type_symbol
_atom_site_fract_x
_atom_site_fract_y
_atom_site_fract_z
Sm1 Sm 0.000 0.000 0.000
Y1 Y 0.000 0.000 0.500
Sc1 Sc 0.250 0.250 0.250
# Calculated formation energy   0.680 eV/atom
# Offset from the most stable computed form   0.000 eV per atom
# VASP energy   -5.155 eV per atom
# Total moment   0.01 μB per formula unit



No. 3
# LuPtAu, optimized geometry, DFT GGA-PBE
data_LuPtAu
_cell_length_a 6.484
_cell_length_b 6.484
_cell_length_c 6.484
_cell_angle_alpha 90.00
_cell_angle_beta 90.00
_cell_angle_gamma 90.00
_symmetry_space_group_name_H-M 'F -4 3 m'
_symmetry_Int_Tables_number 216
_symmetry_space_group_name_Hall 'F -4 2 3'
loop_
_atom_site_label
_atom_site_type_symbol
_atom_site_fract_x
_atom_site_fract_y
_atom_site_fract_z
Lu1 Lu 0.000 0.000 0.000
Pt1 Pt 0.250 0.250 0.250
Au1 Au 0.250 0.250 0.750
# Calculated formation energy   -0.647 eV/atom
# Offset from the most stable computed form   0.201 eV per atom
# VASP energy   -5.262 eV per atom
# Total moment   0.00 μB per formula unit



No. 4
# Ba2TeIr, optimized geometry, DFT GGA-PBE
data_Ba2TeIr
_cell_length_a 7.773
_cell_length_b 7.773
_cell_length_c 7.773
_cell_angle_alpha 90.00
_cell_angle_beta 90.00
_cell_angle_gamma 90.00
_symmetry_space_group_name_H-M 'F -4 3 m'
_symmetry_Int_Tables_number 216
_symmetry_space_group_name_Hall 'F -4 2 3'
loop_
_atom_site_label
_atom_site_type_symbol
_atom_site_fract_x
_atom_site_fract_y
_atom_site_fract_z
Ba1 Ba 0.000 0.000 0.000
Ba2 Ba 0.250 0.250 0.250
Te1 Te 0.000 0.000 0.500
Ir1 Ir 0.250 0.250 0.750
# VASP energy   -4.070 eV per atom
# Total moment   0.00 μB per formula unit



No. 5
# Li2Sc2CoSn2Pt, optimized geometry, DFT GGA-PBE
data_Li2Sc2CoSn2Pt
_cell_length_a 4.523
_cell_length_b 4.523
_cell_length_c 6.452
_cell_angle_alpha 90.00
_cell_angle_beta 90.00
_cell_angle_gamma 90.00
_symmetry_space_group_name_H-M 'P -4 m 2'
_symmetry_Int_Tables_number 115
loop_
_symmetry_equiv_pos_as_xyz
'x,y,z'
'y,-x,-z'
'-x,-y,z'
'-y,x,-z'
'-x,y,z'
'-y,-x,-z'
'x,-y,z'
'y,x,-z'
loop_
_atom_site_label
_atom_site_type_symbol
_atom_site_fract_x
_atom_site_fract_y
_atom_site_fract_z
Li1 Li 0.000 0.000 0.000
Li2 Li 0.500 0.500 0.500
Sc1 Sc 0.000 0.500 0.742
Co1 Co 0.000 0.000 0.500
Sn1 Sn 0.000 0.500 0.265
Pt1 Pt 0.500 0.500 0.000
# VASP energy   -5.395 eV per atom
# Total moment   0.02 μB per formula unit



No. 6
# K2ZnWS6, optimized geometry, DFT GGA-PBE
data_K2ZnWS6
_cell_length_a 6.842
_cell_length_b 6.856
_cell_length_c 11.763
_cell_angle_alpha 90.00
_cell_angle_beta 124.53
_cell_angle_gamma 90.00
_symmetry_space_group_name_H-M 'P 1 21/c 1'
_symmetry_Int_Tables_number 14
loop_
_symmetry_equiv_pos_as_xyz
'x,y,z'
'-x,-y,-z'
'-x,y+1/2,-z+1/2'
'x,-y+1/2,z+1/2'
loop_
_atom_site_label
_atom_site_type_symbol
_atom_site_fract_x
_atom_site_fract_y
_atom_site_fract_z
K1 K 0.243 0.011 0.248
Zn1 Zn 0.000 0.000 0.500
W1 W 0.500 0.000 0.000
S1 S 0.239 0.236 0.992
S2 S 0.262 0.517 0.255
S3 S 0.270 0.748 0.008
# VASP energy   -4.543 eV per atom
# Total moment   0.01 μB per formula unit



No. 7
# LuCdCuSi, optimized geometry, DFT GGA-PBE
data_LuCdCuSi
_cell_length_a 6.643
_cell_length_b 6.643
_cell_length_c 6.643
_cell_angle_alpha 90.00
_cell_angle_beta 90.00
_cell_angle_gamma 90.00
_symmetry_space_group_name_H-M 'F -4 3 m'
_symmetry_Int_Tables_number 216
_symmetry_space_group_name_Hall 'F -4 2 3'
loop_
_atom_site_label
_atom_site_type_symbol
_atom_site_fract_x
_atom_site_fract_y
_atom_site_fract_z
Lu1 Lu 0.000 0.000 0.000
Cd1 Cd 0.250 0.250 0.250
Cu1 Cu 0.250 0.250 0.750
Si1 Si 0.000 0.000 0.500
# Offset from the most stable computed form   0.088 eV per atom
# VASP energy   -3.620 eV per atom
# Total moment   0.00 μB per formula unit



No. 8
# GaCo4PC2, optimized geometry, DFT GGA-PBE
data_GaCo4PC2
_cell_length_a 2.9339
_cell_length_b 2.9339
_cell_length_c 11.0320
_cell_angle_alpha 90.00
_cell_angle_beta 90.00
_cell_angle_gamma 120.00
_symmetry_space_group_name_H-M 'P -6 m 2'
_symmetry_Int_Tables_number 187
_symmetry_space_group_name_Hall 'P -6 2'
loop_
_atom_site_label
_atom_site_type_symbol
_atom_site_fract_x
_atom_site_fract_y
_atom_site_fract_z
Ga1 Ga 0.0000 0.0000 0.0000
Co1 Co 0.0000 0.0000 0.3536
Co2 Co 0.6667 0.3333 0.1806
P1 P 0.6667 0.3333 0.5000
C1 C 0.3333 0.6667 0.2572
# VASP energy   -6.842 eV per atom
# Total moment   0.01 μB per formula unit